# Ac2NdCu3Sn4

A geometry-optimized Ac2NdCu3Sn4 structure (PBE-GGA, the Alexandria database).

```
10
Lattice="4.672 0.000 0.000 0.000 4.672 0.000 0.000 0.000 11.945" Properties=species:S:1:pos:R:3 pbc="T T T"
Ac 0.000 2.336 2.704
Ac 2.336 0.000 9.242
Nd 0.000 0.000 5.973
Cu 0.000 2.336 10.537
Cu 2.336 0.000 1.408
Cu 2.336 2.336 5.973
Sn 0.000 0.000 0.000
Sn 0.000 2.336 7.915
Sn 2.336 0.000 4.031
Sn 2.336 2.336 0.000
```

Output
The value obtained for the uncorrected energy is -45.8 eV per cell. The calculation puts the energy of formation from the pure elements at -432 kJ/mol of formula units. As for the space group: No. 115.

# BiAsPb2

A geometry-optimized BiAsPb2 structure (PBE-GGA, the Alexandria database).

```
4
Lattice="4.893 0.000 0.000 0.000 4.893 0.000 0.000 0.000 4.822" Properties=species:S:1:pos:R:3 pbc="T T T"
Bi 0.000 0.000 0.000
As 2.446 2.446 0.000
Pb 0.000 2.446 2.411
Pb 2.446 0.000 2.411
```

Output
The value obtained for the uncorrected energy is -15.4 eV per cell. For the energy above the most stable polymorph in this dataset, the calculation gives 91.5 meV per atom. The calculation puts the energy of formation from the pure elements at 55 kJ/mol of formula units. As for the space group: No. 123.

# HfMg3Te

A geometry-optimized HfMg3Te structure (PBE-GGA, the Alexandria database).

```
5
Lattice="5.316 0.000 0.000 0.000 5.316 0.000 0.000 0.000 5.316" Properties=species:S:1:pos:R:3 pbc="T T T"
Hf 0.000 0.000 0.000
Mg 0.000 2.658 2.658
Mg 2.658 0.000 2.658
Mg 2.658 2.658 0.000
Te 2.658 2.658 2.658
```

Output
The value obtained for the uncorrected energy is -13.8 eV per cell. For the energy above the most stable polymorph in this dataset, the calculation gives 0.0 meV per atom. As for the space group: No. 221. For the formation energy from raw total energies, the calculation gives 0.8212 eV per atom.